Record 1
! UPd2Au2 | the Alexandria database | GGA-PBE | optimized geometry; values from VASP
! - ΔE to the lowest computed polymorph (meV per atom) = 131
! - size of the total moment (Bohr magnetons per cell) = 9.430
! - final energy (eV for the cell shown) = -115.501
! - calculated formation energy (kJ/mol of atoms) = -12.5
&SYSTEM
  ibrav = 0, nat = 20, ntyp = 3
/
ATOMIC_SPECIES
U 238.03 U.upf
Pd 106.42 Pd.upf
Au 196.97 Au.upf
ATOMIC_POSITIONS crystal
U 0.750 0.266 0.563
U 0.250 0.234 0.063
U 0.250 0.734 0.437
U 0.750 0.766 0.937
Pd 0.750 0.596 0.575
Pd 0.250 0.904 0.075
Pd 0.250 0.404 0.425
Pd 0.750 0.096 0.925
Pd 0.750 0.958 0.429
Pd 0.250 0.542 0.929
Pd 0.250 0.042 0.571
Pd 0.750 0.458 0.071
Au 0.750 0.428 0.805
Au 0.250 0.072 0.305
Au 0.250 0.572 0.195
Au 0.750 0.928 0.695
Au 0.750 0.783 0.218
Au 0.250 0.717 0.718
Au 0.250 0.217 0.782
Au 0.750 0.283 0.282
CELL_PARAMETERS angstrom
4.318 0.000 0.000
0.000 8.460 0.000
0.000 0.000 11.005


Record 2
! U2Pd5Au5 | the Alexandria database | GGA-PBE | optimized geometry; values from VASP
! - size of the total moment (Bohr magnetons per cell) = 4.796
! - final energy (eV for the cell shown) = -68.062
! - calculated formation energy (kJ/mol of atoms) = -25.2
&SYSTEM
  ibrav = 0, nat = 12, ntyp = 3
/
ATOMIC_SPECIES
U 238.03 U.upf
Pd 106.42 Pd.upf
Au 196.97 Au.upf
ATOMIC_POSITIONS crystal
U 0.005 0.005 0.003
U 0.503 0.503 0.499
Pd 0.313 0.313 0.062
Pd 0.563 0.563 0.815
Pd 0.062 0.062 0.310
Pd 0.122 0.122 0.626
Pd 0.622 0.622 0.123
Au 0.564 0.063 0.815
Au 0.062 0.560 0.310
Au 0.063 0.564 0.815
Au 0.560 0.062 0.310
Au 0.812 0.812 0.563
CELL_PARAMETERS angstrom
-1.107 -3.497 -4.004
3.987 -1.836 -3.196
2.271 -8.530 3.210


Record 3
! U2Pd7Au2 | the Alexandria database | GGA-PBE | optimized geometry; values from VASP
! - ΔE to the lowest computed polymorph (meV per atom) = 0
! - size of the total moment (Bohr magnetons per cell) = 4.094
! - final energy (eV for the cell shown) = -68.328
! - calculated formation energy (kJ/mol of atoms) = -25.0
&SYSTEM
  ibrav = 0, nat = 11, ntyp = 3
/
ATOMIC_SPECIES
U 238.03 U.upf
Pd 106.42 Pd.upf
Au 196.97 Au.upf
ATOMIC_POSITIONS crystal
U 0.797 0.000 0.203
U 0.203 0.000 0.797
Pd 0.074 0.323 0.581
Pd 0.419 0.677 0.926
Pd 0.926 0.677 0.419
Pd 0.581 0.323 0.074
Pd 0.000 0.500 0.000
Pd 0.264 0.025 0.264
Pd 0.736 0.975 0.736
Au 0.627 0.383 0.627
Au 0.373 0.617 0.373
CELL_PARAMETERS angstrom
6.364 -0.683 -0.439
-1.153 5.215 -1.065
0.069 -0.683 6.379


Record 4
! UPd6Au4 | the Alexandria database | GGA-PBE | optimized geometry; values from VASP
! - size of the total moment (Bohr magnetons per cell) = 4.034
! - final energy (eV for the cell shown) = -114.199
! - calculated formation energy (kJ/mol of atoms) = -13.5
&SYSTEM
  ibrav = 0, nat = 22, ntyp = 3
/
ATOMIC_SPECIES
U 238.03 U.upf
Pd 106.42 Pd.upf
Au 196.97 Au.upf
ATOMIC_POSITIONS crystal
U 0.774 0.547 0.250
U 0.226 0.453 0.750
Pd 0.500 0.000 0.000
Pd 0.500 0.000 0.500
Pd 0.103 0.205 0.318
Pd 0.897 0.795 0.682
Pd 0.897 0.795 0.818
Pd 0.103 0.205 0.182
Pd 0.804 0.609 0.404
Pd 0.196 0.391 0.596
Pd 0.196 0.391 0.904
Pd 0.804 0.609 0.096
Pd 0.424 0.848 0.250
Pd 0.576 0.152 0.750
Au 0.850 0.701 0.545
Au 0.459 0.919 0.126
Au 0.150 0.299 0.455
Au 0.541 0.081 0.874
Au 0.850 0.701 0.955
Au 0.150 0.299 0.045
Au 0.541 0.081 0.626
Au 0.459 0.919 0.374
CELL_PARAMETERS angstrom
-2.324 1.641 3.893
0.424 -4.444 -0.860
17.927 -0.392 10.865


Record 5
! UPd4Au3 | the Alexandria database | GGA-PBE | optimized geometry; values from VASP
! - ΔE to the lowest computed polymorph (meV per atom) = 0
! - size of the total moment (Bohr magnetons per cell) = 3.847
! - final energy (eV for the cell shown) = -88.251
! - calculated formation energy (kJ/mol of atoms) = -26.9
&SYSTEM
  ibrav = 0, nat = 16, ntyp = 3
/
ATOMIC_SPECIES
Au 196.97 Au.upf
U 238.03 U.upf
Pd 106.42 Pd.upf
ATOMIC_POSITIONS crystal
Au 0.000 0.000 0.000
Au 0.000 0.000 0.500
Au 0.624 0.000 0.750
Au 0.376 0.000 0.250
Au 0.596 0.500 0.750
Au 0.404 0.500 0.250
U 0.000 0.500 0.000
U 0.000 0.500 0.500
Pd 0.500 0.752 0.000
Pd 0.500 0.752 0.500
Pd 0.500 0.248 0.000
Pd 0.500 0.248 0.500
Pd 0.120 0.755 0.750
Pd 0.880 0.755 0.250
Pd 0.880 0.245 0.250
Pd 0.120 0.245 0.750
CELL_PARAMETERS angstrom
-4.916 0.046 0.066
0.020 -4.209 4.391
0.152 6.809 6.527


Record 6
! U2Pd4Au3 | the Alexandria database | GGA-PBE | optimized geometry; values from VASP
! - ΔE to the lowest computed polymorph (meV per atom) = 125
! - size of the total moment (Bohr magnetons per cell) = 8.619
! - final energy (eV for the cell shown) = -109.933
! - calculated formation energy (kJ/mol of atoms) = -19.2
&SYSTEM
  ibrav = 0, nat = 18, ntyp = 3
/
ATOMIC_SPECIES
U 238.03 U.upf
Pd 106.42 Pd.upf
Au 196.97 Au.upf
ATOMIC_POSITIONS crystal
U 0.415 0.164 0.431
U 0.085 0.569 0.836
U 0.585 0.836 0.569
U 0.915 0.431 0.164
Pd 0.472 0.818 0.255
Pd 0.028 0.745 0.182
Pd 0.528 0.182 0.745
Pd 0.972 0.255 0.818
Pd 0.919 0.162 0.508
Pd 0.581 0.492 0.838
Pd 0.081 0.838 0.492
Pd 0.419 0.508 0.162
Au 0.823 0.070 0.177
Au 0.677 0.823 0.930
Au 0.177 0.930 0.823
Au 0.323 0.177 0.070
Au 0.250 0.493 0.507
Au 0.750 0.507 0.493
CELL_PARAMETERS angstrom
5.751 -0.130 -0.093
0.163 7.945 0.071
0.163 2.628 7.498


Record 7
! U4Pd12Au | the Alexandria database | GGA-PBE | optimized geometry; values from VASP
! - size of the total moment (Bohr magnetons per cell) = 9.980
! - final energy (eV for the cell shown) = -116.895
! - calculated formation energy (kJ/mol of atoms) = -34.9
&SYSTEM
  ibrav = 0, nat = 17, ntyp = 3
/
ATOMIC_SPECIES
U 238.03 U.upf
Pd 106.42 Pd.upf
Au 196.97 Au.upf
ATOMIC_POSITIONS crystal
U 0.000 0.000 0.500
U 0.500 0.000 0.000
U 0.500 0.500 0.500
U 0.000 0.500 0.000
Pd 0.000 0.303 0.303
Pd 0.000 0.697 0.697
Pd 0.697 0.697 0.000
Pd 0.303 0.303 0.000
Pd 0.303 0.000 0.303
Pd 0.697 0.000 0.697
Pd 0.500 0.250 0.750
Pd 0.500 0.750 0.250
Pd 0.750 0.250 0.500
Pd 0.250 0.750 0.500
Pd 0.750 0.500 0.250
Pd 0.250 0.500 0.750
Au 0.000 0.000 0.000
CELL_PARAMETERS angstrom
7.002 0.000 -2.475
-3.501 6.064 -2.475
0.000 0.000 7.426


Record 8
! VPd6Au2 | the Alexandria database | GGA-PBE | optimized geometry; values from VASP
! - size of the total moment (Bohr magnetons per cell) = 0.000
! - final energy (eV for the cell shown) = -48.311
! - calculated formation energy (kJ/mol of atoms) = -15.9
&SYSTEM
  ibrav = 0, nat = 9, ntyp = 3
/
ATOMIC_SPECIES
V 50.94 V.upf
Pd 106.42 Pd.upf
Au 196.97 Au.upf
ATOMIC_POSITIONS crystal
V 0.500 0.000 0.000
Pd 0.500 0.655 0.000
Pd 0.500 0.345 0.345
Pd 0.500 0.000 0.655
Pd 0.000 0.281 0.000
Pd 0.000 0.719 0.719
Pd 0.000 0.000 0.281
Au 0.000 0.333 0.667
Au 0.000 0.667 0.333
CELL_PARAMETERS angstrom
-1.226 1.380 -2.152
-2.230 -6.654 -2.998
-4.523 3.670 4.930


Record 9
! VPd8Au6 | the Alexandria database | GGA-PBE | optimized geometry; values from VASP
! - ΔE to the lowest computed polymorph (meV per atom) = 0
! - size of the total moment (Bohr magnetons per cell) = 0.000
! - final energy (eV for the cell shown) = -70.765
! - calculated formation energy (kJ/mol of atoms) = -2.8
&SYSTEM
  ibrav = 0, nat = 15, ntyp = 3
/
ATOMIC_SPECIES
V 50.94 V.upf
Pd 106.42 Pd.upf
Au 196.97 Au.upf
ATOMIC_POSITIONS crystal
V 0.000 0.000 0.000
Pd 0.757 0.757 0.757
Pd 0.243 0.243 0.243
Pd 0.642 0.956 0.127
Pd 0.956 0.127 0.642
Pd 0.127 0.642 0.956
Pd 0.358 0.044 0.873
Pd 0.044 0.873 0.358
Pd 0.873 0.358 0.044
Au 0.555 0.389 0.822
Au 0.389 0.822 0.555
Au 0.822 0.555 0.389
Au 0.445 0.611 0.178
Au 0.611 0.178 0.445
Au 0.178 0.445 0.611
CELL_PARAMETERS angstrom
-1.858 -4.542 4.376
5.155 -1.176 3.908
-1.110 3.103 5.689


Record 10
! V2Pd4Au | the Alexandria database | GGA-PBE | optimized geometry; values from VASP
! - ΔE to the lowest computed polymorph (meV per atom) = 782
! - size of the total moment (Bohr magnetons per cell) = 0.000
! - final energy (eV for the cell shown) = -36.775
! - calculated formation energy (kJ/mol of atoms) = 76.0
&SYSTEM
  ibrav = 0, nat = 7, ntyp = 3
/
ATOMIC_SPECIES
Au 196.97 Au.upf
Pd 106.42 Pd.upf
V 50.94 V.upf
ATOMIC_POSITIONS crystal
Au 0.000 0.000 0.000
Pd 0.221 0.221 0.557
Pd 0.779 0.779 0.443
Pd 0.000 0.500 0.000
Pd 0.500 0.000 0.000
V 0.416 0.416 0.168
V 0.584 0.584 0.832
CELL_PARAMETERS angstrom
-2.867 3.387 2.249
1.546 -1.637 4.436
3.897 4.821 3.210